VB2F | PBE with a Hubbard U | optimized geometry

a = 7.5480 Å, b = 7.5480 Å, c = 5.6229 Å
α = 47.84°, β = 47.84°, γ = 90.00°
With the nearest neighbours (Å) after each atom.
Element x y z (fractional)
B: 0.1136 0.6250 0.2500  2 B 1.78
B: 0.8750 0.8864 0.7500  2 B 1.78
B: 0.6364 0.1250 0.2500  2 B 1.78
B: 0.3750 0.3636 0.7500  2 B 1.78
V: 0.7500 0.2500 0.5000  2 F 1.77
V: 0.0000 0.0000 0.0000  2 F 1.77
F: 0.5000 0.5000 0.0000  2 V 1.77
F: 0.2500 0.7500 0.5000  2 V 1.77

Calculated values
Total magnetization in μB per formula unit: 2.41
E_tot in eV per cell: -43.13
Energy above the lowest structure with this stoichiometry in eV per atom: 0.000
Calculated volume in Å³/atom: 12.600
Space-group type: No. 122